No. 1
A relaxed Ga3OsSe crystal, computed with PBE.

The structure in POSCAR format:
```
Ga3OsSe
1.0
4.832 0.000 0.000
0.000 4.832 0.000
0.000 0.000 4.832
Ga Os Se
3 1 1
direct
0.000 0.000 0.500
0.000 0.500 0.000
0.500 0.000 0.000
0.000 0.000 0.000
0.500 0.500 0.500
```

Summary:
E_form (uncorrected)   0.19 eV/atom
Calculated volume   113 Å³ per cell
Polymorph energy (0 for the lowest one)   0.0000 eV/atom
Theoretical density   7.040 g cm⁻³


No. 2
A relaxed Th8GaOs3Se4 crystal, computed with PBE.

The structure in POSCAR format:
```
Th8GaOs3Se4
1.0
4.176 2.411 7.277
-4.176 2.411 7.277
0.000 -4.822 7.277
Th Ga Os Se
8 1 3 4
direct
0.225 0.747 0.747
0.240 0.240 0.240
0.253 0.253 0.775
0.253 0.775 0.253
0.747 0.225 0.747
0.747 0.747 0.225
0.760 0.760 0.760
0.775 0.253 0.253
0.500 0.500 0.500
0.000 0.000 0.500
0.000 0.500 0.000
0.500 0.000 0.000
0.000 0.000 0.000
0.000 0.500 0.500
0.500 0.000 0.500
0.500 0.500 0.000
```

Summary:
E_form (uncorrected)   -0.97 eV/atom
Calculated volume   440 Å³ per cell
Theoretical density   10.625 g cm⁻³


No. 3
A relaxed GaSiOs3 crystal, computed with PBE.

The structure in POSCAR format:
```
GaSiOs3
1.0
4.386 0.000 0.000
0.000 4.386 0.000
0.000 0.000 4.386
Ga Si Os
1 1 3
direct
0.000 0.000 0.000
0.500 0.500 0.500
0.000 0.500 0.500
0.500 0.000 0.500
0.500 0.500 0.000
```

Summary:
E_form (uncorrected)   1.14 eV/atom
Calculated volume   84 Å³ per cell
Polymorph energy (0 for the lowest one)   0.0000 eV/atom
Theoretical density   13.153 g cm⁻³


No. 4
A relaxed GaSiOs3 crystal, computed with PBE.

The structure in POSCAR format:
```
GaSiOs3
1.0
4.484 0.000 0.000
0.000 4.484 0.000
0.000 0.000 4.484
Ga Si Os
1 1 3
direct
0.000 0.000 0.000
0.500 0.500 0.500
0.000 0.000 0.500
0.000 0.500 0.000
0.500 0.000 0.000
```

Summary:
E_form (uncorrected)   2.04 eV/atom
Calculated volume   90 Å³ per cell
Polymorph energy (0 for the lowest one)   0.9020 eV/atom
Theoretical density   12.316 g cm⁻³


No. 5
A relaxed GaSi2Os crystal, computed with PBE.

The structure in POSCAR format:
```
GaSi2Os
1.0
-2.826 2.826 5.385
2.826 -2.826 5.385
2.826 2.826 -5.385
Ga Si Os
2 4 2
direct
0.000 0.000 0.000
0.750 0.250 0.500
0.157 0.625 0.032
0.375 0.407 0.532
0.593 0.125 0.968
0.875 0.843 0.468
0.250 0.750 0.500
0.500 0.500 0.000
```

Summary:
E_form (uncorrected)   0.42 eV/atom
Calculated volume   172 Å³ per cell
Theoretical density   6.105 g cm⁻³


No. 6
A relaxed SrGa2SiOs2 crystal, computed with PBE.

The structure in POSCAR format:
```
SrGa2SiOs2
1.0
4.483 0.000 0.000
0.000 4.483 0.000
0.000 0.000 5.864
Sr Ga Si Os
1 2 1 2
direct
0.000 0.000 0.000
0.500 0.500 0.234
0.500 0.500 0.766
0.000 0.000 0.500
0.000 0.500 0.500
0.500 0.000 0.500
```

Summary:
E_form (uncorrected)   -0.11 eV/atom
Calculated volume   118 Å³ per cell
Theoretical density   8.955 g cm⁻³


No. 7
A relaxed TaGaSiOs2 crystal, computed with PBE.

The structure in POSCAR format:
```
TaGaSiOs2
1.0
4.776 0.000 0.000
0.000 4.776 0.000
0.000 0.000 4.949
Ta Ga Si Os
1 1 1 2
direct
0.000 0.000 0.000
0.000 0.000 0.500
0.500 0.500 0.500
0.000 0.500 0.000
0.500 0.000 0.000
```

Summary:
E_form (uncorrected)   1.88 eV/atom
Calculated volume   113 Å³ per cell
Theoretical density   9.697 g cm⁻³


No. 8
A relaxed TbGa2SiOs2 crystal, computed with PBE.

The structure in POSCAR format:
```
TbGa2SiOs2
1.0
4.463 0.000 0.000
0.000 4.463 0.000
0.000 0.000 5.575
Tb Ga Si Os
1 2 1 2
direct
0.000 0.000 0.000
0.500 0.500 0.226
0.500 0.500 0.774
0.000 0.000 0.500
0.000 0.500 0.500
0.500 0.000 0.500
```

Summary:
E_form (uncorrected)   -0.12 eV/atom
Calculated volume   111 Å³ per cell
Theoretical density   10.572 g cm⁻³


No. 9
A relaxed YGa2SiOs2 crystal, computed with PBE.

The structure in POSCAR format:
```
YGa2SiOs2
1.0
4.465 0.000 0.000
0.000 4.465 0.000
0.000 0.000 5.567
Y Ga Si Os
1 2 1 2
direct
0.000 0.000 0.000
0.500 0.500 0.226
0.500 0.500 0.774
0.000 0.000 0.500
0.000 0.500 0.500
0.500 0.000 0.500
```

Summary:
E_form (uncorrected)   -0.11 eV/atom
Calculated volume   111 Å³ per cell
Theoretical density   9.529 g cm⁻³


No. 10
A relaxed Sm8GaOs2 crystal, computed with PBE.

The structure in POSCAR format:
```
Sm8GaOs2
1.0
4.432 -6.584 0.000
4.432 6.584 0.000
-1.314 0.000 5.445
Sm Ga Os
8 1 2
direct
0.000 0.000 0.000
0.049 0.312 0.614
0.134 0.619 0.201
0.312 0.049 0.614
0.441 0.704 0.788
0.619 0.134 0.201
0.704 0.441 0.788
0.752 0.752 0.401
0.375 0.375 0.202
0.063 0.689 0.700
0.689 0.063 0.700
```

Summary:
Calculated volume   318 Å³ per cell
Theoretical density   8.639 g cm⁻³
Formation energy from the elements   -0.1178 eV per atom


No. 11
A relaxed SmGaOs crystal, computed with PBE.

The structure in POSCAR format:
```
SmGaOs
1.0
5.226 0.000 0.000
0.000 4.354 0.000
-1.696 0.000 5.304
Sm Ga Os
2 2 2
direct
0.242 0.250 0.048
0.758 0.750 0.952
0.453 0.250 0.625
0.547 0.750 0.375
0.116 0.750 0.537
0.884 0.250 0.463
```

Summary:
Calculated volume   121 Å³ per cell
Theoretical density   11.291 g cm⁻³
Formation energy from the elements   -0.2617 eV per atom


No. 12
A relaxed Sm3Ga9Os2 crystal, computed with PBE.

The structure in POSCAR format:
```
Sm3Ga9Os2
1.0
-2.162 4.728 6.343
2.162 -4.728 6.343
2.162 4.728 -6.343
Sm Ga Os
3 9 2
direct
0.000 0.000 0.000
0.299 0.299 0.000
0.701 0.701 0.000
0.014 0.652 0.362
0.154 0.870 0.283
0.290 0.652 0.638
0.413 0.130 0.283
0.500 0.000 0.500
0.587 0.870 0.717
0.710 0.348 0.362
0.846 0.130 0.717
0.986 0.348 0.638
0.325 0.500 0.825
0.675 0.500 0.175
```

Summary:
Calculated volume   259 Å³ per cell
Theoretical density   9.342 g cm⁻³
Formation energy from the elements   -0.4741 eV per atom